Compound: Ta2H6Ru
Source: Alexandria
Functional: PBE
Structure: optimized geometry

Calculated values
E (eV/atom): -5.94
Space group: C2/m
Total magnetization (μB per formula unit): 0.0

Unit cell a=5.4859 b=5.4859 c=3.1283 alpha=106.42 beta=106.42 gamma=48.18
Closest atoms and distances in Å follow each position.
Element x y z (fractional)
Ta: 0.1663 0.1663 0.1662  8 H 1.94-1.97
Ta: 0.8337 0.8337 0.8338  8 H 1.94-1.97
H: 0.0939 0.5764 0.3349  1 Ru 1.91, 3 Ta 1.94-1.95
H: 0.2602 0.7398 0.0000  2 Ru 1.90, 2 Ta 1.97
H: 0.4236 0.9061 0.6651  1 Ru 1.91, 3 Ta 1.94-1.95
H: 0.5764 0.0939 0.3349  1 Ru 1.91, 3 Ta 1.94-1.95
H: 0.7398 0.2602 0.0000  2 Ru 1.90, 2 Ta 1.97
H: 0.9061 0.4236 0.6651  1 Ru 1.91, 3 Ta 1.94-1.95
Ru: 0.5000 0.5000 0.5000  8 H 1.90-1.91